(1)
K4RbHg3F12 | GGA-PBE | optimized geometry

a = 8.156 Å, b = 8.156 Å, c = 8.156 Å
α = 109.47°, β = 109.47°, γ = 109.47°
Atoms (fractional coordinates):
K 0.500 0.000 0.000
K 0.500 0.500 0.500
K 0.000 0.500 0.000
K 0.000 0.000 0.500
Rb 0.000 0.000 0.000
Hg 0.000 0.500 0.500
Hg 0.500 0.500 0.000
Hg 0.500 0.000 0.500
F 0.328 0.845 0.173
F 0.672 0.155 0.827
F 0.672 0.845 0.518
F 0.827 0.672 0.155
F 0.845 0.173 0.328
F 0.155 0.482 0.328
F 0.482 0.328 0.155
F 0.155 0.827 0.672
F 0.328 0.155 0.482
F 0.173 0.328 0.845
F 0.845 0.518 0.672
F 0.518 0.672 0.845

For the density, the calculation gives 4.26 g/cm3. Its space group is Im-3. As for the total energy: -69.62 eV for the cell shown. For the uncorrected formation energy, the calculation gives -40.90 eV/f.u. The calculation puts the density of states at the Fermi level at 12.49 states/eV/cell.

(2)
KRb2HgF | GGA-PBE | optimized geometry

a = 5.800 Å, b = 5.800 Å, c = 5.502 Å
α = 90.00°, β = 90.00°, γ = 90.00°
Atoms (fractional coordinates):
K 0.000 0.000 0.500
Hg 0.500 0.500 0.500
Rb 0.000 0.500 0.000
Rb 0.500 0.000 0.000
F 0.000 0.000 0.000

For the density, the calculation gives 3.85 g/cm3. Its space group is P4/mmm. As for the total energy: -10.72 eV for the cell shown. The value obtained for the energy above the most stable polymorph in this dataset is 0 meV per atom. For the uncorrected formation energy, the calculation gives -5.52 eV/f.u. The calculation puts the density of states at the Fermi level at 2.61 states/eV/cell.